6
Lattice="5.1855 0.0000 0.0000 2.5928 4.4908 0.0000 2.5928 1.4969 4.2340" Properties=species:S:1:pos:R:3 comment="PrThNi4 | Alexandria | PBE | optimized geometry" total_energy_ev_per_atom=-6.197 pbc="T T T"
Ni 5.1855 2.9939 0.5199
Ni 6.4895 3.7467 2.6493
Ni 5.1855 1.4881 2.6493
Pr 2.5928 1.4969 1.0585
Ni 3.8815 3.7467 2.6493
Th 0.0000 0.0000 0.0000